# Rb3HgAu2

An optimized crystal structure of Rb3HgAu2 (PBE-GGA, the Alexandria database).

The space group is P4/mmm (No. 123) and the conventional cell measures 4.271, 4.271 and 12.710 Å, with angles of 90.00, 90.00 and 90.00 degrees. The asymmetric unit holds Rb at (0.000, 0.000, 0.000), Rb at (0.000, 0.000, 0.313), Hg at (0.500, 0.500, 0.500) and Au at (0.500, 0.500, 0.166).

Its polymorph energy (0 for the lowest one) is 0.08 eV per formula unit. As for the formation energy: -25 kJ per mole of atoms. The raw total energy comes out at -1.89 eV per atom. The size of the total moment is 0.0 μB per formula unit. As for the crystal system: tetragonal.